No. 1
This record from Alexandria via LeMat-Bulk describes NaHgF3 after structural relaxation. The functional is PBE-GGA.

The structure belongs to space group P2_13 (No. 198); the cell edges are 6.867, 6.867 and 6.867 Å and the angles 90.00°, 90.00° and 90.00°. The distinct sites, in fractional coordinates, are Na at (0.133, 0.367, 0.633), Hg at (0.090, 0.910, 0.410) and F at (0.027, 0.730, 0.127).

The value obtained for the calculated volume is 16.2 Å³ per atom. The uncorrected formation energy comes out at -1960.3 meV per atom. As for the final energy: -68.14 eV/cell.

***

No. 2
This record from Alexandria via LeMat-Bulk describes Pm6SiSn after structural relaxation. The functional is PBE-GGA.

The structure belongs to space group P4/mmm (No. 123); the cell edges are 4.835, 4.835 and 9.667 Å and the angles 90.00°, 90.00° and 90.00°. The distinct sites, in fractional coordinates, are Pm at (0.000, 0.000, 0.000), Pm at (0.000, 0.000, 0.500), Pm at (0.000, 0.500, 0.240), Si at (0.500, 0.500, 0.000) and Sn at (0.500, 0.500, 0.500).

The value obtained for the calculated volume is 28.2 Å³ per atom. The uncorrected formation energy comes out at -349.5 meV per atom. As for the final energy: -40.73 eV/cell.

***

No. 3
This record from Alexandria via LeMat-Bulk describes AgPtW2 after structural relaxation. The functional is PBE-GGA.

The structure belongs to space group P4/mmm (No. 123); the cell edges are 3.459, 3.459 and 5.614 Å and the angles 90.00°, 90.00° and 90.00°. The distinct sites, in fractional coordinates, are Ag at (0.000, 0.000, 0.000), Pt at (0.000, 0.000, 0.500) and W at (0.500, 0.500, 0.281).

For the energy above the most stable polymorph in this dataset, the calculation gives 376 meV per atom. As for the formation energy: 0.512 eV per atom. The value obtained for the calculated volume is 16.8 Å³ per atom. As for the final energy: -32.75 eV/cell.

***

> Which value of final energy does entry 1 give?

-68.14 eV/cell